Record 1
Entry from the Alexandria database: a relaxed Cs3Tl3Pt crystal (PBE-GGA).

Calculated values
The calculation puts the formation energy at -0.0659 eV/atom. As for the total energy: -32.32 eV for the cell shown. As for the space group: No. 12. As for the calculated volume: 48.44 Å³/atom.

```
Cs3Tl3Pt
1.0
0.690 -1.818 -8.450
6.839 -3.576 3.954
-5.938 -7.220 1.920
Cs Pt Tl
6 2 6
Cartesian
5.203 -3.108 0.654 Cs
2.326 -2.285 -5.150 Cs
-1.106 -5.763 -5.122 Cs
-1.511 -6.973 -0.239 Cs
3.101 -5.640 -2.337 Cs
2.696 -6.850 2.546 Cs
0.199 -11.162 -1.681 Pt
1.391 -1.451 -0.895 Pt
1.214 -3.685 0.715 Tl
0.376 -8.929 -3.291 Tl
1.816 -9.340 -0.385 Tl
-4.760 -5.977 1.513 Tl
-0.226 -3.273 -2.191 Tl
6.351 -6.636 -4.089 Tl
```

***

Record 2
Entry from the Alexandria database: a relaxed CsTl3Pt crystal (PBE-GGA).

Calculated values
The calculation puts the formation energy at 0.0102 eV/atom. As for the total energy: -27.88 eV for the cell shown. As for the space group: No. 119. As for the calculated volume: 39.94 Å³/atom.

```
CsTl3Pt
1.0
-1.214 -4.751 4.807
5.081 -3.862 -2.534
7.432 -0.471 6.315
Pt Tl Cs
2 6 2
Cartesian
0.000 0.000 0.000 Pt
7.223 -4.320 2.458 Pt
7.330 -2.401 4.382 Tl
5.549 -6.460 2.363 Tl
4.190 -2.733 3.261 Tl
9.860 -4.324 3.120 Tl
6.153 -4.094 -0.031 Tl
7.109 -6.351 5.326 Tl
2.306 -5.999 4.462 Cs
5.846 -3.530 7.796 Cs
```

***

Record 3
Entry from the Alexandria database: a relaxed CsTl3Pt crystal (PBE-GGA).

Calculated values
The calculation puts the formation energy at 1.3845 eV/atom. As for the total energy: -7.07 eV for the cell shown. As for the space group: No. 221. As for the calculated volume: 52.33 Å³/atom.

```
CsTl3Pt
1.0
6.396 0.000 0.000
0.000 6.396 0.000
0.000 0.000 6.396
Cs Pt Tl
1 1 3
Cartesian
0.000 0.000 0.000 Cs
3.198 3.198 3.198 Pt
0.000 3.198 0.000 Tl
0.000 0.000 3.198 Tl
3.198 0.000 0.000 Tl
```

***

Record 4
Entry from the Alexandria database: a relaxed Cs3Tl3Pt2 crystal (PBE-GGA).

Calculated values
The calculation puts the formation energy at -0.1470 eV/atom. As for the total energy: -45.83 eV for the cell shown. As for the space group: No. 63. As for the calculated volume: 37.75 Å³/atom.

```
Cs3Tl3Pt2
1.0
-1.675 0.026 4.463
1.807 -7.134 -1.826
16.312 2.570 6.106
Cs Pt Tl
6 4 6
Cartesian
3.475 -1.062 3.856 Cs
6.478 -5.236 5.007 Cs
14.735 1.449 5.520 Cs
9.967 0.697 3.736 Cs
12.970 -3.477 4.887 Cs
1.710 -5.987 3.222 Cs
6.851 -2.387 2.585 Pt
9.594 -2.151 6.158 Pt
14.216 -1.423 7.888 Pt
2.229 -3.115 0.855 Pt
6.990 -1.241 5.176 Tl
11.737 -0.558 6.953 Tl
16.290 -2.221 6.125 Tl
4.708 -3.980 1.790 Tl
9.455 -3.297 3.567 Tl
0.155 -2.317 2.617 Tl
```

***

Record 5
Entry from the Alexandria database: a relaxed CsTlPt crystal (PBE-GGA).

Calculated values
The calculation puts the formation energy at -0.1545 eV/atom. As for the total energy: -38.90 eV for the cell shown. As for the space group: No. 12. As for the calculated volume: 34.06 Å³/atom.

```
CsTlPt
1.0
4.603 0.000 0.000
0.000 8.731 -0.027
0.000 -0.698 10.173
Pt Tl Cs
4 4 4
Cartesian
2.301 0.178 6.295 Pt
0.000 4.893 1.194 Pt
4.603 3.140 8.952 Pt
2.301 7.855 3.851 Pt
4.603 0.419 7.963 Tl
2.301 2.899 7.284 Tl
2.301 5.134 2.862 Tl
0.000 7.613 2.183 Tl
0.000 6.014 5.855 Cs
4.603 2.019 4.291 Cs
2.301 1.998 0.783 Cs
2.301 6.035 9.363 Cs
```

***

Record 6
Entry from the Alexandria database: a relaxed Cs4Tl4Pt crystal (PBE-GGA).

Calculated values
The calculation puts the formation energy at -0.0609 eV/atom. As for the total energy: -19.47 eV for the cell shown. As for the space group: No. 121. As for the calculated volume: 54.18 Å³/atom.

```
Cs4Tl4Pt
1.0
7.828 0.000 0.000
-3.914 7.958 3.914
0.000 0.000 7.828
Tl Cs Pt
4 4 1
Cartesian
6.253 1.482 6.253 Tl
2.339 6.476 5.488 Tl
-2.339 6.476 10.167 Tl
1.575 1.482 1.575 Tl
5.519 2.367 2.309 Cs
2.309 2.367 5.519 Cs
1.605 5.590 9.433 Cs
-1.605 5.590 6.223 Cs
0.000 0.000 0.000 Pt
```

***

Record 7
Entry from the Alexandria database: a relaxed CsTl2Pt2 crystal (PBE-GGA).

Calculated values
The calculation puts the formation energy at -0.1382 eV/atom. As for the total energy: -18.36 eV for the cell shown. As for the space group: No. 12. As for the calculated volume: 29.95 Å³/atom.

```
CsTl2Pt2
1.0
-3.375 -0.554 2.984
-2.933 -2.320 -3.747
4.872 -4.600 1.203
Tl Pt Cs
2 2 1
Cartesian
-2.372 -3.104 0.193 Tl
0.936 -4.370 0.248 Tl
-0.507 -3.014 2.319 Pt
-0.928 -4.460 -1.878 Pt
0.000 0.000 0.000 Cs
```

***

Record 8
Entry from the Alexandria database: a relaxed CsTl12Pt4 crystal (PBE-GGA).

Calculated values
The calculation puts the formation energy at -0.0492 eV/atom. As for the total energy: -54.25 eV for the cell shown. As for the space group: No. 204. As for the calculated volume: 30.49 Å³/atom.

```
CsTl12Pt4
1.0
8.264 0.000 -2.922
-4.132 7.157 -2.922
0.000 0.000 8.765
Cs Pt Tl
1 4 12
Cartesian
0.000 0.000 0.000 Cs
4.132 0.000 -1.461 Pt
0.000 0.000 4.383 Pt
2.066 3.578 1.461 Pt
-2.066 3.578 -1.461 Pt
2.028 5.955 -2.868 Tl
0.694 3.644 -0.982 Tl
-1.323 4.733 4.862 Tl
3.503 1.221 0.982 Tl
5.455 2.423 -1.940 Tl
3.438 3.512 3.903 Tl
6.171 1.221 2.868 Tl
2.104 1.202 5.790 Tl
0.011 2.423 2.976 Tl
0.629 5.936 1.940 Tl
4.121 4.733 -0.054 Tl
-2.039 5.936 0.054 Tl
```

***

Record 9
Entry from the Alexandria database: a relaxed CsTl3Pt crystal (PBE-GGA).

Calculated values
The calculation puts the formation energy at -0.0831 eV/atom. As for the total energy: -57.63 eV for the cell shown. As for the space group: No. 15. As for the calculated volume: 35.72 Å³/atom.

```
CsTl3Pt
1.0
17.247 0.000 -0.621
7.249 5.241 -4.212
-7.249 5.241 4.212
Tl Cs Pt
12 4 4
Cartesian
3.937 3.904 2.306 Tl
14.841 1.317 -1.054 Tl
6.218 3.924 -0.743 Tl
11.029 6.557 0.123 Tl
-2.562 3.904 1.595 Tl
13.310 6.577 -2.927 Tl
3.385 1.433 -0.894 Tl
13.863 9.049 0.273 Tl
19.810 6.577 -2.216 Tl
5.239 6.674 0.584 Tl
2.406 9.165 0.433 Tl
12.008 3.808 -1.205 Tl
16.560 4.350 -2.572 Cs
9.311 3.473 1.640 Cs
0.687 6.131 1.951 Cs
7.936 7.009 -2.261 Cs
5.152 9.447 0.133 Pt
3.471 4.206 -0.444 Pt
13.776 6.276 -0.177 Pt
12.095 1.035 -0.754 Pt
```

***

Record 10
Entry from the Alexandria database: a relaxed Cs3Tl5Pt2 crystal (PBE-GGA).

Calculated values
The calculation puts the formation energy at -0.1072 eV/atom. As for the total energy: -55.09 eV for the cell shown. As for the space group: No. 72. As for the calculated volume: 36.76 Å³/atom.

```
Cs3Tl5Pt2
1.0
8.278 0.000 0.000
4.139 9.676 0.269
4.139 2.827 9.257
Tl Cs Pt
10 6 4
Cartesian
8.278 8.737 4.273 Tl
10.347 6.251 4.763 Tl
12.417 6.438 7.290 Tl
8.278 3.765 5.253 Tl
10.347 9.246 7.045 Tl
6.208 9.246 7.045 Tl
10.347 3.256 2.481 Tl
4.139 6.064 2.236 Tl
6.208 6.251 4.763 Tl
6.208 3.256 2.481 Tl
8.278 6.202 1.162 Cs
8.278 6.300 8.364 Cs
12.417 9.736 3.854 Cs
4.139 2.766 5.672 Cs
6.208 0.000 0.000 Cs
2.069 0.000 0.000 Cs
8.278 2.847 0.678 Pt
8.278 9.656 8.848 Pt
12.417 11.093 6.961 Pt
4.139 1.409 2.565 Pt
```

***

Record 11
Entry from the Alexandria database: a relaxed CsTl3Pt crystal (PBE-GGA).

Calculated values
The calculation puts the formation energy at -0.1354 eV/atom. As for the total energy: -29.34 eV for the cell shown. As for the space group: No. 11. As for the calculated volume: 33.45 Å³/atom.

```
CsTl3Pt
1.0
10.818 0.000 6.369
0.000 8.502 0.000
6.698 0.000 7.579
Tl Pt Cs
6 2 2
Cartesian
12.620 6.377 8.700 Tl
10.713 3.872 9.813 Tl
4.897 2.126 5.249 Tl
6.803 4.630 4.135 Tl
6.803 8.124 4.135 Tl
10.713 0.379 9.813 Tl
13.053 2.126 10.147 Pt
4.463 6.377 3.801 Pt
7.863 2.126 7.782 Cs
9.654 6.377 6.166 Cs
```

***

Record 12
Entry from the Alexandria database: a relaxed CsTl4Pt2 crystal (PBE-GGA).

Calculated values
The calculation puts the formation energy at -0.0272 eV/atom. As for the total energy: -22.59 eV for the cell shown. As for the space group: No. 65. As for the calculated volume: 28.87 Å³/atom.

```
CsTl4Pt2
1.0
4.919 0.000 0.000
0.000 5.019 0.000
0.000 -2.509 8.186
Tl Pt Cs
4 2 1
Cartesian
2.460 2.509 5.384 Tl
0.000 2.509 2.868 Tl
2.460 0.000 2.802 Tl
0.000 0.000 5.318 Tl
2.460 0.000 6.872 Pt
2.460 2.509 1.314 Pt
0.000 0.000 0.000 Cs
```

***

Record 13
Entry from the Alexandria database: a relaxed CsTl3Pt crystal (PBE-GGA).

Calculated values
The calculation puts the formation energy at -0.0987 eV/atom. As for the total energy: -28.97 eV for the cell shown. As for the space group: No. 11. As for the calculated volume: 35.89 Å³/atom.

```
CsTl3Pt
1.0
4.651 0.000 2.400
0.000 8.485 0.000
0.966 0.000 9.592
Tl Pt Cs
6 2 2
Cartesian
1.975 0.294 7.639 Tl
0.714 6.363 4.316 Tl
3.642 8.191 4.353 Tl
1.975 3.949 7.639 Tl
3.642 4.536 4.353 Tl
4.903 2.121 7.676 Tl
3.042 2.121 5.578 Pt
2.575 6.363 6.414 Pt
3.539 6.363 10.300 Cs
2.078 2.121 1.692 Cs
```

***

Record 14
Entry from the Alexandria database: a relaxed Cs3Tl5Pt6 crystal (PBE-GGA).

Calculated values
The calculation puts the formation energy at -0.1239 eV/atom. As for the total energy: -52.37 eV for the cell shown. As for the space group: No. 71. As for the calculated volume: 28.85 Å³/atom.

```
Cs3Tl5Pt6
1.0
-4.618 0.996 -0.618
-3.418 -7.458 -4.851
-4.385 -4.488 7.173
Tl Cs Pt
5 3 6
Cartesian
-7.104 -6.970 5.118 Tl
-5.916 -2.143 4.021 Tl
-5.317 -3.979 -3.413 Tl
-6.505 -8.807 -2.316 Tl
-3.902 -5.973 1.161 Tl
-5.582 -2.921 0.272 Cs
0.000 0.000 0.000 Cs
-6.839 -8.028 1.432 Cs
-6.007 -6.098 -1.673 Pt
-6.414 -4.851 3.377 Pt
-3.793 -4.060 3.437 Pt
-8.628 -6.890 -1.733 Pt
-9.041 -5.621 3.401 Pt
-3.380 -5.328 -1.696 Pt
```

***

Record 15
Entry from the Alexandria database: a relaxed CsTl3Pt crystal (PBE-GGA).

Calculated values
The calculation puts the formation energy at -0.0861 eV/atom. As for the total energy: -57.69 eV for the cell shown. As for the space group: No. 15. As for the calculated volume: 34.30 Å³/atom.

```
CsTl3Pt
1.0
-1.947 16.008 -2.636
-7.543 5.066 -1.844
-3.437 -5.633 6.513
Tl Cs Pt
12 4 4
Cartesian
-4.686 15.864 -1.475 Tl
-5.954 6.403 2.035 Tl
-3.932 -4.314 5.489 Tl
-8.995 19.755 -3.456 Tl
-3.727 7.859 -0.151 Tl
-5.983 1.031 1.314 Tl
-6.973 9.039 -0.002 Tl
-8.008 11.757 -2.148 Tl
-4.918 3.685 4.180 Tl
-8.241 -0.422 3.508 Tl
-6.943 14.410 0.719 Tl
-9.200 7.582 2.184 Tl
-3.172 3.862 0.484 Cs
-4.264 11.860 -0.783 Cs
-8.663 3.582 2.816 Cs
-9.755 11.580 1.549 Cs
-5.956 0.992 4.192 Pt
-4.925 9.099 2.022 Pt
-6.971 14.449 -2.160 Pt
-8.001 6.342 0.011 Pt
```

***

Record 16
Entry from the Alexandria database: a relaxed Cs3TlPt2 crystal (PBE-GGA).

Calculated values
The calculation puts the formation energy at -0.0792 eV/atom. As for the total energy: -69.94 eV for the cell shown. As for the space group: No. 14. As for the calculated volume: 39.25 Å³/atom.

```
Cs3TlPt2
1.0
8.727 0.000 -4.221
0.000 10.256 0.000
-1.264 0.000 11.136
Pt Cs Tl
8 12 4
Cartesian
1.764 7.588 2.349 Pt
1.968 2.460 1.108 Pt
6.345 3.351 -2.208 Pt
5.700 2.668 4.566 Pt
5.495 7.796 5.807 Pt
1.118 6.905 9.123 Pt
1.349 1.777 5.471 Pt
6.114 8.479 1.444 Pt
3.836 5.376 0.906 Cs
1.375 3.296 8.830 Cs
6.999 5.761 3.437 Cs
4.196 0.633 6.935 Cs
6.088 6.960 -1.915 Cs
1.092 8.424 5.764 Cs
3.627 4.880 6.009 Cs
6.371 1.832 1.151 Cs
-0.104 0.248 2.552 Cs
3.267 9.623 -0.020 Cs
0.464 4.495 3.478 Cs
7.568 10.008 4.363 Cs
0.433 6.861 -0.005 Tl
3.298 1.733 3.463 Tl
7.030 3.395 6.920 Tl
4.165 8.523 3.452 Tl
```

***

Record 17
Entry from the Alexandria database: a relaxed CsTl3Pt crystal (PBE-GGA).

Calculated values
The calculation puts the formation energy at -0.0091 eV/atom. As for the total energy: -56.16 eV for the cell shown. As for the space group: No. 227. As for the calculated volume: 42.39 Å³/atom.

```
CsTl3Pt
1.0
-5.975 -1.810 8.595
-8.890 5.601 1.564
-9.479 -4.689 -1.012
Tl Pt Cs
12 4 4
Cartesian
-17.318 -2.154 4.910 Tl
-13.318 -2.561 5.624 Tl
-11.232 -1.929 2.624 Tl
-20.421 -0.199 5.456 Tl
-17.113 1.438 5.810 Tl
-19.404 -2.786 7.910 Tl
-10.009 -0.924 5.977 Tl
-16.095 -1.149 8.264 Tl
-13.112 1.031 6.523 Tl
-19.198 0.806 8.810 Tl
-11.027 1.662 3.523 Tl
-14.335 0.026 3.170 Tl
-12.227 0.344 1.419 Pt
-10.770 -3.362 4.935 Pt
-10.476 1.783 6.223 Pt
-15.215 -0.562 5.717 Pt
-3.043 -0.112 1.143 Cs
-6.031 -1.018 5.441 Cs
-7.782 -2.457 0.637 Cs
-7.488 2.688 1.925 Cs
```

***

Record 18
Entry from the Alexandria database: a relaxed CsTl3Pt crystal (PBE-GGA).

Calculated values
The calculation puts the formation energy at -0.1432 eV/atom. As for the total energy: -29.42 eV for the cell shown. As for the space group: No. 8. As for the calculated volume: 33.99 Å³/atom.

```
CsTl3Pt
1.0
6.618 -0.005 0.022
0.001 5.717 0.001
-3.321 -2.856 8.974
Tl Pt Cs
6 2 2
Cartesian
-0.126 -0.353 7.449 Tl
-1.292 2.504 5.888 Tl
3.501 -0.357 5.891 Tl
2.319 2.503 7.458 Tl
-0.720 -0.354 3.583 Tl
2.950 2.505 3.602 Tl
1.106 1.075 5.202 Pt
1.105 3.933 5.203 Pt
6.193 2.501 1.149 Cs
2.663 -0.353 1.152 Cs
```

***

Record 19
Entry from the Alexandria database: a relaxed CsTl6Pt3 crystal (PBE-GGA).

Calculated values
The calculation puts the formation energy at -0.0767 eV/atom. As for the total energy: -67.88 eV for the cell shown. As for the space group: No. 11. As for the calculated volume: 29.60 Å³/atom.

```
CsTl6Pt3
1.0
4.033 0.000 0.000
0.000 8.789 -5.021
0.000 -2.463 18.109
Tl Pt Cs
12 6 2
Cartesian
3.025 5.380 10.741 Tl
3.025 4.024 2.316 Tl
3.025 4.266 -1.069 Tl
3.025 7.187 -3.065 Tl
1.008 6.321 4.586 Tl
1.008 2.303 10.772 Tl
1.008 2.462 5.276 Tl
1.008 -0.861 16.152 Tl
3.025 3.865 7.812 Tl
1.008 0.947 2.347 Tl
3.025 0.006 8.501 Tl
1.008 2.061 14.156 Tl
1.008 5.318 12.970 Pt
1.008 3.073 0.553 Pt
3.025 3.253 12.534 Pt
1.008 1.849 8.055 Pt
3.025 4.478 5.033 Pt
3.025 1.009 0.117 Pt
1.008 7.322 0.428 Cs
3.025 -0.996 12.660 Cs
```